Here is an optimized crystal structure of HfRe3Hg from the Alexandria database. Energies are from PBEsol.

**Mass density**: 14.73 g/cm³
**Raw total energy**: -7.609 eV per atom

Unit cell a=4.728 b=4.728 c=4.728 alpha=90.00 beta=90.00 gamma=90.00
Last column: magnetic moment on the atom in μB.
Fractional coordinates of all 5 atoms:
Re 0.000 0.500 0.000  0.56
Re 0.000 0.000 0.500  0.56
Re 0.500 0.000 0.000  0.56
Hf 0.000 0.000 0.000  -0.01
Hg 0.500 0.500 0.500  0.00